[1]
Below is crystalline BaTi3Sn at its relaxed geometry, with properties calculated at the GGA-PBE level.

Results
Polymorph energy (0 for the lowest one): 3.99 eV/f.u.
SG: Pm-3m, No. 221
Theoretical density: 5.4 Mg/m³
Formation energy: 1606 meV/atom

Cell lengths 4.971, 4.971, 4.971 Å; angles 90.00, 90.00, 90.00 degrees
Atoms (fractional coordinates):
Ti  0.000  0.500  0.000
Ti  0.000  0.000  0.500
Ti  0.500  0.000  0.000
Ba  0.000  0.000  0.000
Sn  0.500  0.500  0.500

[2]
Below is crystalline Tb6Sm2MgSc3 at its relaxed geometry, with properties calculated at the GGA-PBE level.

Results
SG: C2/m, No. 12
Theoretical density: 6.6 Mg/m³
Formation energy: 40 meV/atom

Cell lengths 6.030, 6.030, 11.420 Å; angles 95.07, 95.07, 120.03 degrees
Atoms (fractional coordinates):
Tb  0.914  0.581  0.740
Tb  0.754  0.754  0.260
Tb  0.086  0.419  0.260
Tb  0.581  0.914  0.740
Tb  0.246  0.246  0.740
Tb  0.419  0.086  0.260
Sm  0.333  0.667  0.000
Sm  0.667  0.333  0.000
Mg  0.000  0.000  0.000
Sc  0.165  0.835  0.500
Sc  0.835  0.165  0.500
Sc  0.500  0.500  0.500

[3]
Below is crystalline DySc5Hg3 at its relaxed geometry, with properties calculated at the GGA-PBE level.

Results
SG: P6_3/mcm, No. 193
Theoretical density: 7.8 Mg/m³
Formation energy: -313 meV/atom

Cell lengths 6.527, 8.614, 8.613 Å; angles 120.00, 90.00, 90.00 degrees
Atoms (fractional coordinates):
Dy  0.000  0.000  0.000
Dy  0.500  0.000  0.000
Sc  0.000  0.667  0.333
Sc  0.500  0.333  0.667
Sc  0.000  0.333  0.667
Sc  0.500  0.667  0.333
Sc  0.750  0.660  0.660
Sc  0.750  0.000  0.340
Sc  0.750  0.340  0.000
Sc  0.250  0.340  0.340
Sc  0.250  0.000  0.660
Sc  0.250  0.660  0.000
Hg  0.750  0.333  0.333
Hg  0.750  0.000  0.667
Hg  0.750  0.667  0.000
Hg  0.250  0.667  0.667
Hg  0.250  0.000  0.333
Hg  0.250  0.333  0.000

[4]
Below is crystalline Cu5Pt at its relaxed geometry, with properties calculated at the GGA-PBE level.

Results
Polymorph energy (0 for the lowest one): 0.23 eV/f.u.
SG: Amm2, No. 38
Theoretical density: 11.2 Mg/m³
Formation energy: -63 meV/atom

Cell lengths 2.720, 6.723, 4.263 Å; angles 90.00, 90.00, 78.33 degrees
Atoms (fractional coordinates):
Cu  0.007  0.986  0.000
Cu  0.670  0.660  0.000
Cu  0.335  0.330  0.000
Cu  0.556  0.889  0.500
Cu  0.214  0.571  0.500
Pt  0.885  0.231  0.500

[5]
Below is crystalline MgRe2W at its relaxed geometry, with properties calculated at the GGA-PBE level.

Results
SG: Pmmm, No. 47
Theoretical density: 15.4 Mg/m³
Formation energy: 382 meV/atom

Cell lengths 2.806, 4.031, 5.546 Å; angles 90.00, 90.00, 90.00 degrees
Atoms (fractional coordinates):
Mg  0.500  0.500  0.750
Re  0.000  0.000  0.999
Re  0.000  0.000  0.501
W  0.500  0.500  0.250

[6]
Below is crystalline KTi2TlBi at its relaxed geometry, with properties calculated at the GGA-PBE level.

Results
SG: P4/mmm, No. 123
Theoretical density: 6.1 Mg/m³
Formation energy: 1685 meV/atom

Cell lengths 5.072, 5.821, 5.072 Å; angles 90.00, 90.00, 90.00 degrees
Atoms (fractional coordinates):
K  0.000  0.000  0.000
Tl  0.500  0.500  0.500
Bi  0.000  0.500  0.000
Ti  0.000  0.000  0.500
Ti  0.500  0.000  0.000

[7]
Below is crystalline CaYRu at its relaxed geometry, with properties calculated at the GGA-PBE level.

Results
Polymorph energy (0 for the lowest one): 0.11 eV/f.u.
SG: Cm, No. 8
Theoretical density: 4.8 Mg/m³
Formation energy: -72 meV/atom

Cell lengths 8.117, 4.209, 11.223 Å; angles 90.00, 124.12, 90.00 degrees
Atoms (fractional coordinates):
Y  0.303  0.000  0.889
Y  0.303  0.500  0.389
Y  0.840  0.000  0.120
Y  0.840  0.500  0.620
Ru  0.603  0.000  0.442
Ru  0.603  0.500  0.942
Ru  0.256  0.000  0.208
Ru  0.256  0.500  0.708
Ca  0.034  0.000  0.495
Ca  0.034  0.500  0.995
Ca  0.568  0.000  0.726
Ca  0.568  0.500  0.226

[8]
Below is crystalline Ce3Nd4HoSe8 at its relaxed geometry, with properties calculated at the GGA-PBE level.

Results
SG: R-3m, No. 166
ΔE_f (raw): -1.82 eV per atom
Theoretical density: 7.1 Mg/m³

Cell lengths 8.398, 8.397, 8.398 Å; angles 120.00, 120.00, 90.00 degrees
Atoms (fractional coordinates):
Ce  0.500  0.500  0.000
Ce  0.500  0.500  0.500
Ce  0.000  0.500  0.500
Nd  0.500  0.000  0.000
Nd  0.500  0.000  0.500
Nd  0.000  0.000  0.000
Nd  0.000  0.000  0.500
Ho  0.000  0.500  0.000
Se  0.245  0.743  0.998
Se  0.244  0.743  0.489
Se  0.251  0.252  0.501
Se  0.754  0.743  0.998
Se  0.246  0.257  0.002
Se  0.749  0.748  0.499
Se  0.756  0.257  0.511
Se  0.755  0.257  0.002

Uncorrected energy readings, ordered: -21.58, -57.33, -79.97, -26.90, -37.91, -14.71, -71.83, -98.49 eV per cell